Record 1
A relaxed AcHgBiTe crystal, computed with PBE.

POSCAR file:
```
AcHgBiTe
1.0
-2.336 1.720 4.820
0.380 -3.202 4.609
3.263 1.617 4.287
Te Bi Hg Ac
1 1 1 1
direct
0.250 0.250 0.250
0.500 0.500 0.500
0.750 0.750 0.750
0.000 0.000 0.000
```

Summary:
- ΔE_f (raw) (meV/atom) = -608
- total magnetic moment (μB per atom) = 0.000
- VASP energy (eV for the cell shown) = -13.9



Record 2
A relaxed AcTlHgBi crystal, computed with PBE.

POSCAR file:
```
AcTlHgBi
1.0
5.700 0.000 0.000
2.850 4.937 0.000
2.850 1.646 4.654
Tl Ac Hg Bi
1 1 1 1
direct
0.000 0.000 0.000
0.500 0.500 0.500
0.750 0.750 0.750
0.250 0.250 0.250
```

Summary:
- total magnetic moment (μB per atom) = 0.000
- VASP energy (eV for the cell shown) = -12.2
- energy of formation (eV/atom) = -0.396
- distance to the lowest polymorph of the same formula (meV per atom) = 18.0